# CuGeHRh2 (PBE, relaxed)
data_CuGeHRh2
_chemical_formula_sum 'Cu1 Ge1 H1 Rh2'
_cell_length_a 4.021
_cell_length_b 4.021
_cell_length_c 3.552
_cell_angle_alpha 90.00
_cell_angle_beta 90.00
_cell_angle_gamma 90.00
_symmetry_space_group_name_H-M 'P 4/m m m'
_symmetry_Int_Tables_number 123
_symmetry_space_group_name_Hall '-P 4 2'
loop_
_atom_site_label
_atom_site_type_symbol
_atom_site_fract_x
_atom_site_fract_y
_atom_site_fract_z
Cu1 Cu 0.000 0.000 0.000
Ge1 Ge 0.500 0.500 0.000
H1 H 0.000 0.000 0.500
Rh1 Rh 0.000 0.500 0.500
# Electronic total energy: -27.9 eV per cell
# ρ: 9919 kg/m3
# Fermi-level density of states: 0.6 states/eV/cell

=====

# Zn2CrCu (PBE, relaxed)
data_Zn2CrCu
_chemical_formula_sum 'Zn2 Cr1 Cu1'
_cell_length_a 3.053
_cell_length_b 3.066
_cell_length_c 5.921
_cell_angle_alpha 90.00
_cell_angle_beta 90.09
_cell_angle_gamma 90.00
_symmetry_space_group_name_H-M 'P 1 2/m 1'
_symmetry_Int_Tables_number 10
loop_
_symmetry_equiv_pos_as_xyz
'x,y,z'
'-x,-y,-z'
'-x,y,-z'
'x,-y,z'
loop_
_atom_site_label
_atom_site_type_symbol
_atom_site_fract_x
_atom_site_fract_y
_atom_site_fract_z
Zn1 Zn 0.001 0.000 0.262
Cr1 Cr 0.500 0.500 0.000
Cu1 Cu 0.500 0.500 0.500
# Electronic total energy: -15.8 eV per cell
# ρ: 7382 kg/m3
# Fermi-level density of states: 1.7 states/eV/cell

=====

# Mg4GeAu5 (PBE, relaxed)
data_Mg4GeAu5
_chemical_formula_sum 'Mg4 Ge1 Au5'
_cell_length_a 3.341
_cell_length_b 3.341
_cell_length_c 16.311
_cell_angle_alpha 90.00
_cell_angle_beta 90.00
_cell_angle_gamma 90.00
_symmetry_space_group_name_H-M 'P 4/m m m'
_symmetry_Int_Tables_number 123
_symmetry_space_group_name_Hall '-P 4 2'
loop_
_atom_site_label
_atom_site_type_symbol
_atom_site_fract_x
_atom_site_fract_y
_atom_site_fract_z
Mg1 Mg 0.000 0.000 0.100
Mg2 Mg 0.000 0.000 0.298
Ge1 Ge 0.000 0.000 0.500
Au1 Au 0.500 0.500 0.000
Au2 Au 0.500 0.500 0.199
Au3 Au 0.500 0.500 0.396
# Electronic total energy: -32.1 eV per cell
# ρ: 10532 kg/m3
# Fermi-level density of states: 3.4 states/eV/cell

=====

# Lu2InSi (PBE, relaxed)
data_Lu2InSi
_chemical_formula_sum 'Lu6 In3 Si3'
_cell_length_a 3.6985
_cell_length_b 3.6985
_cell_length_c 25.4259
_cell_angle_alpha 90.00
_cell_angle_beta 90.00
_cell_angle_gamma 120.00
_symmetry_space_group_name_H-M 'R -3 m'
_symmetry_Int_Tables_number 166
_symmetry_space_group_name_Hall '-R 3 2"'
loop_
_atom_site_label
_atom_site_type_symbol
_atom_site_fract_x
_atom_site_fract_y
_atom_site_fract_z
Lu1 Lu 0.0000 0.0000 0.2382
In1 In 0.0000 0.0000 0.0000
Si1 Si 0.0000 0.0000 0.5000
# Electronic total energy: -56.1 eV per cell
# ρ: 8151 kg/m3
# Fermi-level density of states: 7.8 states/eV/cell

=====

# AlAuN (PBE, relaxed)
data_AlAuN
_chemical_formula_sum 'Al4 Au4 N4'
_cell_length_a 9.860
_cell_length_b 3.311
_cell_length_c 6.132
_cell_angle_alpha 90.00
_cell_angle_beta 109.16
_cell_angle_gamma 90.00
_symmetry_space_group_name_H-M 'C 1 2/m 1'
_symmetry_Int_Tables_number 12
loop_
_symmetry_equiv_pos_as_xyz
'x,y,z'
'-x,-y,-z'
'-x,y,-z'
'x,-y,z'
'x+1/2,y+1/2,z'
'-x+1/2,-y+1/2,-z'
'-x+1/2,y+1/2,-z'
'x+1/2,-y+1/2,z'
loop_
_atom_site_label
_atom_site_type_symbol
_atom_site_fract_x
_atom_site_fract_y
_atom_site_fract_z
Al1 Al 0.193 0.000 0.322
Au1 Au 0.080 0.000 0.861
N1 N 0.214 0.000 0.651
# ρ: 8360 kg/m3
# Offset from the most stable computed form: 0 meV per atom

=====

# NiIrSe (PBE, relaxed)
data_NiIrSe
_chemical_formula_sum 'Ni4 Ir4 Se4'
_cell_length_a 11.884
_cell_length_b 2.924
_cell_length_c 5.060
_cell_angle_alpha 90.00
_cell_angle_beta 90.00
_cell_angle_gamma 90.00
_symmetry_space_group_name_H-M 'A m m 2'
_symmetry_Int_Tables_number 38
loop_
_symmetry_equiv_pos_as_xyz
'x,y,z'
'-x,-y,z'
'-x,y,z'
'x,-y,z'
'x,y+1/2,z+1/2'
'-x,-y+1/2,z+1/2'
'-x,y+1/2,z+1/2'
'x,-y+1/2,z+1/2'
loop_
_atom_site_label
_atom_site_type_symbol
_atom_site_fract_x
_atom_site_fract_y
_atom_site_fract_z
Ni1 Ni 0.165 0.000 0.000
Ir1 Ir 0.000 0.000 0.333
Ir2 Ir 0.500 0.000 0.004
Se1 Se 0.317 0.000 0.334
# ρ: 12464 kg/m3
# Fermi-level density of states: 14.1 states/eV/cell
# Offset from the most stable computed form: 118 meV per atom

=====

# K3Te2 (PBE, relaxed)
data_K3Te2
_chemical_formula_sum 'K3 Te2'
_cell_length_a 5.9307
_cell_length_b 5.9307
_cell_length_c 7.3209
_cell_angle_alpha 90.00
_cell_angle_beta 90.00
_cell_angle_gamma 120.00
_symmetry_space_group_name_H-M 'P -3 m 1'
_symmetry_Int_Tables_number 164
_symmetry_space_group_name_Hall '-P 3 2"'
loop_
_atom_site_label
_atom_site_type_symbol
_atom_site_fract_x
_atom_site_fract_y
_atom_site_fract_z
K1 K 0.0000 0.0000 0.0000
K2 K 0.3333 0.6667 0.3064
Te1 Te 0.3333 0.6667 0.7944
# Electronic total energy: -13.6 eV per cell
# ρ: 2774 kg/m3
# Fermi-level density of states: 7.4 states/eV/cell

=====

# Ta2AlO2 (PBE, relaxed)
data_Ta2AlO2
_chemical_formula_sum 'Ta4 Al2 O4'
_cell_length_a 6.762
_cell_length_b 6.762
_cell_length_c 2.664
_cell_angle_alpha 90.00
_cell_angle_beta 90.00
_cell_angle_gamma 90.00
_symmetry_space_group_name_H-M 'P 4/m b m'
_symmetry_Int_Tables_number 127
_symmetry_space_group_name_Hall '-P 4 2ab'
loop_
_atom_site_label
_atom_site_type_symbol
_atom_site_fract_x
_atom_site_fract_y
_atom_site_fract_z
Ta1 Ta 0.175 0.325 0.000
Al1 Al 0.000 0.000 0.500
O1 O 0.121 0.621 0.500
# ρ: 11476 kg/m3
# Fermi-level density of states: 1.9 states/eV/cell
# Offset from the most stable computed form: 185 meV per atom

=====

# Pa2POs (PBE, relaxed)
data_Pa2POs
_chemical_formula_sum 'Pa4 P2 Os2'
_cell_length_a 5.734
_cell_length_b 3.959
_cell_length_c 7.874
_cell_angle_alpha 90.00
_cell_angle_beta 110.37
_cell_angle_gamma 90.00
_symmetry_space_group_name_H-M 'P 1 21/m 1'
_symmetry_Int_Tables_number 11
loop_
_symmetry_equiv_pos_as_xyz
'x,y,z'
'-x,-y,-z'
'-x,y+1/2,-z'
'x,-y+1/2,z'
loop_
_atom_site_label
_atom_site_type_symbol
_atom_site_fract_x
_atom_site_fract_y
_atom_site_fract_z
Pa1 Pa 0.197 0.250 0.413
Pa2 Pa 0.283 0.750 0.069
P1 P 0.371 0.750 0.698
Os1 Os 0.131 0.250 0.797
# ρ: 13541 kg/m3
# Fermi-level density of states: 8.3 states/eV/cell
# Offset from the most stable computed form: 0 meV per atom

=====

# ErNpMn2 (PBE, relaxed)
data_ErNpMn2
_chemical_formula_sum 'Er3 Np3 Mn6'
_cell_length_a 3.2181
_cell_length_b 3.2181
_cell_length_c 23.6150
_cell_angle_alpha 90.00
_cell_angle_beta 90.00
_cell_angle_gamma 120.00
_symmetry_space_group_name_H-M 'R -3 m'
_symmetry_Int_Tables_number 166
_symmetry_space_group_name_Hall '-R 3 2"'
loop_
_atom_site_label
_atom_site_type_symbol
_atom_site_fract_x
_atom_site_fract_y
_atom_site_fract_z
Er1 Er 0.0000 0.0000 0.0000
Np1 Np 0.0000 0.0000 0.5000
Mn1 Mn 0.0000 0.0000 0.2349
# Electronic total energy: -103.3 eV per cell
# ρ: 12093 kg/m3
# Fermi-level density of states: 13.4 states/eV/cell

=====

# Cu5Pd3 (PBE, relaxed)
data_Cu5Pd3
_chemical_formula_sum 'Cu10 Pd6'
_cell_length_a 7.147
_cell_length_b 7.794
_cell_length_c 3.838
_cell_angle_alpha 90.00
_cell_angle_beta 90.00
_cell_angle_gamma 90.00
_symmetry_space_group_name_H-M 'C m m m'
_symmetry_Int_Tables_number 65
_symmetry_space_group_name_Hall '-C 2 2'
loop_
_atom_site_label
_atom_site_type_symbol
_atom_site_fract_x
_atom_site_fract_y
_atom_site_fract_z
Cu1 Cu 0.000 0.000 0.000
Cu2 Cu 0.249 0.500 0.500
Cu3 Cu 0.250 0.250 0.000
Pd1 Pd 0.000 0.241 0.500
Pd2 Pd 0.000 0.500 0.000
# Electronic total energy: -73.8 eV per cell
# ρ: 9896 kg/m3
# Fermi-level density of states: 8.8 states/eV/cell

=====

# ZnPIrCl2 (PBE, relaxed)
data_ZnPIrCl2
_chemical_formula_sum 'Zn1 P1 Ir1 Cl2'
_cell_length_a 4.344
_cell_length_b 4.344
_cell_length_c 6.492
_cell_angle_alpha 90.00
_cell_angle_beta 90.00
_cell_angle_gamma 90.00
_symmetry_space_group_name_H-M 'P 4/m m m'
_symmetry_Int_Tables_number 123
_symmetry_space_group_name_Hall '-P 4 2'
loop_
_atom_site_label
_atom_site_type_symbol
_atom_site_fract_x
_atom_site_fract_y
_atom_site_fract_z
Zn1 Zn 0.000 0.000 0.000
P1 P 0.000 0.000 0.500
Ir1 Ir 0.500 0.500 0.500
Cl1 Cl 0.000 0.500 0.000
# ρ: 4872 kg/m3
# Fermi-level density of states: 6.1 states/eV/cell
# Offset from the most stable computed form: 718 meV per atom

=====

no.,volume (Å³ per atom)
1,11.48
2,13.85
3,18.21
4,25.10
5,15.75
6,14.65
7,44.60
8,12.18
9,20.95
10,17.65
11,13.36
12,24.50